! Mg2AgP PBEsol optimized geometry; values from VASP
! * magnetization: 0.00 μB/cell
! * N(E_F): 0.89 states/eV per cell
! * ρ: 4.5 g cm⁻³
! * formation energy: -256 meV per atom
&SYSTEM
  ibrav = 0, nat = 4, ntyp = 3
/
ATOMIC_SPECIES
Mg 24.30 Mg.upf
Ag 107.87 Ag.upf
P 30.97 P.upf
CELL_PARAMETERS angstrom
3.630 0.000 0.000
0.000 4.330 0.000
0.000 0.000 4.369
ATOMIC_POSITIONS angstrom
Mg 0.000 0.000 0.000
Mg 0.000 2.165 2.133
Ag 1.815 0.000 2.220
P 1.815 2.165 4.277